Entry 1:
P2SNF, relaxed, DFT GGA-PBE; electronic total energy = -4.096 eV per atom
1.0
4.124 0.000 0.000
0.000 4.124 0.000
0.000 0.000 4.030
P N F S
2 1 1 1
Direct
0.000 0.500 0.000
0.500 0.000 0.000
0.000 0.000 0.000
0.500 0.500 0.500
0.000 0.000 0.500

***

Entry 2:
CrInAs, relaxed, DFT GGA-PBE; formation enthalpy at 0 K = 29.04 kJ/mol of atoms
1.0
-2.770 0.763 2.929
-1.235 -0.908 -3.806
-0.063 -3.697 0.903
In Cr As
1 1 1
Direct
0.667 0.333 0.667
0.333 0.667 0.167
0.000 0.000 0.167

***

Entry 3:
NbGa, relaxed, DFT GGA-PBE; formation enthalpy at 0 K = -4.49 kJ/mol of atoms
1.0
6.679 0.000 0.000
0.000 8.066 0.000
0.000 0.000 10.514
Ga Nb
16 16
Direct
0.810 0.500 0.500
0.940 0.750 0.750
0.190 0.000 0.000
0.190 0.500 0.500
0.440 0.750 0.250
0.060 0.250 0.750
0.560 0.750 0.750
0.560 0.250 0.250
0.310 0.500 0.000
0.060 0.750 0.250
0.810 0.000 0.000
0.310 0.000 0.500
0.440 0.250 0.750
0.690 0.000 0.500
0.940 0.250 0.250
0.690 0.500 0.000
0.500 0.800 0.000
0.000 0.700 0.000
0.500 0.700 0.500
0.000 0.200 0.500
0.750 0.950 0.250
0.500 0.300 0.500
0.250 0.450 0.250
0.750 0.450 0.750
0.250 0.550 0.750
0.250 0.050 0.250
0.250 0.950 0.750
0.000 0.800 0.500
0.000 0.300 0.000
0.750 0.550 0.250
0.750 0.050 0.750
0.500 0.200 0.000

***

Entry 4:
KLi2ZnHg, relaxed, DFT GGA-PBE; formation enthalpy at 0 K = 64.10 kJ/mol of atoms
1.0
-2.408 0.181 5.890
-3.406 -5.457 -1.225
4.874 -3.514 2.101
Li Hg K Zn
2 1 1 1
Direct
0.000 0.000 0.500
0.500 0.000 0.000
0.000 0.500 0.000
0.000 0.000 0.000
0.500 0.500 0.500

***

Entry 5:
CeB2Rh3, relaxed, DFT GGA-PBE; formation enthalpy at 0 K = -65.42 kJ/mol of atoms
1.0
5.489 0.000 0.000
-2.744 4.753 0.000
0.000 0.000 3.108
Ce Rh B
1 3 2
Direct
0.000 0.000 0.000
0.500 0.500 0.500
0.000 0.500 0.500
0.500 0.000 0.500
0.333 0.667 0.000
0.667 0.333 0.000

***

Entry 6:
KTl2InGa, relaxed, DFT GGA-PBE; formation enthalpy at 0 K = 8.94 kJ/mol of atoms
1.0
-5.474 1.156 -1.244
-1.404 -0.722 5.509
0.918 5.352 0.935
Tl Ga In K
2 1 1 1
Direct
0.000 0.500 0.000
0.500 0.000 0.000
0.000 0.000 0.000
0.000 0.000 0.500
0.500 0.500 0.500

***

Entry 7:
HoMgSc2In4, relaxed, DFT GGA-PBE; formation enthalpy at 0 K = -32.23 kJ/mol of atoms
1.0
5.076 0.000 0.000
2.538 4.396 0.000
2.538 1.465 8.501
Sc In Mg Ho
2 4 1 1
Direct
0.754 0.754 0.739
0.246 0.246 0.261
0.874 0.874 0.377
0.126 0.126 0.623
0.378 0.378 0.867
0.622 0.622 0.133
0.500 0.500 0.500
0.000 0.000 0.000

***

Entry 8:
PmHfGaIr, relaxed, DFT GGA-PBE; formation enthalpy at 0 K = -42.23 kJ/mol of atoms
1.0
4.884 0.000 0.000
2.442 4.230 0.000
2.442 1.410 3.988
Hf Ga Ir Pm
1 1 1 1
Direct
0.500 0.500 0.500
0.250 0.250 0.250
0.750 0.750 0.750
0.000 0.000 0.000

***

Entry 9:
TaTiAsSe2, relaxed, DFT GGA-PBE; electronic total energy = -5.795 eV per atom
1.0
4.804 0.000 0.000
0.000 4.804 0.000
0.000 0.000 4.891
Se As Ta Ti
2 1 1 1
Direct
0.500 0.000 0.000
0.000 0.500 0.000
0.000 0.000 0.500
0.500 0.500 0.500
0.000 0.000 0.000

***

Entry 10:
HoPuHgOs, relaxed, DFT GGA-PBE; formation enthalpy at 0 K = -22.25 kJ/mol of atoms
1.0
3.318 0.000 0.000
0.000 3.318 0.000
0.000 0.000 8.221
Hg Pu Os Ho
1 1 1 1
Direct
0.000 0.000 0.066
0.500 0.500 0.362
0.000 0.000 0.573
0.500 0.500 0.784

***

Entry 11:
La15Nd4Dy, relaxed, DFT GGA-PBE; formation enthalpy at 0 K = 0.98 kJ/mol of atoms
1.0
5.240 0.000 0.000
0.000 5.240 0.000
0.000 0.000 26.283
La Nd Dy
15 4 1
Direct
0.000 0.500 0.500
0.500 0.500 0.801
0.500 0.000 0.299
0.000 0.500 0.299
0.500 0.000 0.099
0.500 0.500 0.000
0.500 0.500 0.400
0.500 0.000 0.901
0.000 0.500 0.901
0.500 0.000 0.500
0.500 0.500 0.600
0.500 0.000 0.701
0.500 0.500 0.199
0.000 0.500 0.099
0.000 0.500 0.701
0.000 0.000 0.199
0.000 0.000 0.801
0.000 0.000 0.400
0.000 0.000 0.600
0.000 0.000 0.000

***

Entry 12:
LaNdTh2N4, relaxed, DFT GGA-PBE; electronic total energy = -8.738 eV per atom
1.0
3.688 0.000 0.000
0.000 6.379 0.111
0.000 -2.230 5.968
N Th La Nd
4 2 1 1
Direct
0.000 0.241 0.729
0.500 0.255 0.269
0.000 0.759 0.271
0.500 0.745 0.731
0.500 0.000 0.500
0.000 0.500 0.500
0.500 0.500 0.000
0.000 0.000 0.000